A geometry-optimized CdAu structure, computed with GGA-PBE.

size of the total moment = 0.0 μB per formula unit
DOS at the Fermi energy = 0.5 states/eV per cell
crystal system = orthorhombic
DFT total energy = -9.06 eV per cell

The structure in POSCAR format:
```
CdAu
1.0
-2.0824 2.0899 4.4381
2.0824 -2.0899 4.4381
2.0824 2.0899 -4.4381
Cd Au
2 2
direct
0.3749 0.1249 0.2500
0.6251 0.8751 0.7500
0.1250 0.3750 0.7500
0.8750 0.6250 0.2500
```

---

A geometry-optimized PmTm2Os structure, computed with GGA-PBE.

size of the total moment = 0.0 μB per formula unit
DOS at the Fermi energy = 2.6 states/eV per cell
crystal system = tetragonal
distance to the lowest polymorph of the same formula = 0.059 eV/atom
DFT total energy = -25.69 eV per cell

The structure in POSCAR format:
```
PmTm2Os
1.0
3.3877 0.0000 0.0000
0.0000 3.3877 0.0000
0.0000 0.0000 9.1345
Pm Tm Os
1 2 1
direct
0.0000 0.0000 0.0000
0.5000 0.5000 0.3225
0.5000 0.5000 0.6775
0.0000 0.0000 0.5000
```

---

A geometry-optimized BeSiAu2 structure, computed with GGA-PBE.

size of the total moment = 0.0 μB per formula unit
DOS at the Fermi energy = 0.9 states/eV per cell
energy relative to the elements, uncorrected = 0.03 eV/atom
crystal system = tetragonal
DFT total energy = -15.57 eV per cell

The structure in POSCAR format:
```
BeSiAu2
1.0
3.4426 0.0000 0.0000
0.0000 3.4426 0.0000
0.0000 0.0000 5.1049
Be Si Au
1 1 2
direct
0.0000 0.0000 0.0000
0.5000 0.5000 0.3037
0.0000 0.0000 0.4796
0.5000 0.5000 0.8300
```

---

A geometry-optimized YHoMgRu structure, computed with GGA-PBE.

size of the total moment = 0.0 μB per formula unit
DOS at the Fermi energy = 2.8 states/eV per cell
crystal system = tetragonal
distance to the lowest polymorph of the same formula = 0.000 eV/atom
DFT total energy = -23.08 eV per cell

The structure in POSCAR format:
```
YHoMgRu
1.0
3.4487 0.0000 0.0000
0.0000 3.4487 0.0000
0.0000 0.0000 8.0324
Y Ho Mg Ru
1 1 1 1
direct
0.0000 0.0000 0.0000
0.0000 0.0000 0.5908
0.5000 0.5000 0.2971
0.5000 0.5000 0.7913
```

---

A geometry-optimized GaCuTe2 structure, computed with GGA-PBE.

size of the total moment = 0.0 μB per formula unit
DOS at the Fermi energy = 0.0 states/eV per cell
energy relative to the elements, uncorrected = -0.28 eV/atom
crystal system = tetragonal
DFT total energy = -29.09 eV per cell

The structure in POSCAR format:
```
GaCuTe2
1.0
-3.0470 3.0470 6.0795
3.0470 -3.0470 6.0795
3.0470 3.0470 -6.0795
Ga Cu Te
2 2 4
direct
0.0000 0.0000 0.0000
0.7500 0.2500 0.5000
0.2500 0.7500 0.5000
0.5000 0.5000 0.0000
0.1381 0.6250 0.0131
0.3750 0.3881 0.5131
0.6119 0.1250 0.9869
0.8750 0.8619 0.4869
```

---

A geometry-optimized Zr4IrRu3 structure, computed with GGA-PBE.

size of the total moment = 0.0 μB per formula unit
DOS at the Fermi energy = 4.1 states/eV per cell
crystal system = orthorhombic
DFT total energy = -76.30 eV per cell

The structure in POSCAR format:
```
Zr4IrRu3
1.0
3.2994 0.0000 0.0000
0.0000 4.6333 0.0000
0.0000 0.0000 9.2605
Zr Ir Ru
4 1 3
direct
0.0000 0.0000 0.0000
0.0000 0.0000 0.5000
0.0000 0.5000 0.2480
0.0000 0.5000 0.7520
0.5000 0.5000 0.5000
0.5000 0.0000 0.2503
0.5000 0.0000 0.7497
0.5000 0.5000 0.0000
```

---

A geometry-optimized NaCeCdBi structure, computed with GGA-PBE.

size of the total moment = 1.5 μB per formula unit
DOS at the Fermi energy = 8.1 states/eV per cell
crystal system = cubic
DFT total energy = -13.29 eV per cell

The structure in POSCAR format:
```
NaCeCdBi
1.0
0.0000 3.8563 3.8563
3.8563 0.0000 3.8563
3.8563 3.8563 0.0000
Na Ce Cd Bi
1 1 1 1
direct
0.0000 0.0000 0.0000
0.5000 0.5000 0.5000
0.7500 0.7500 0.7500
0.2500 0.2500 0.2500
```

---

A geometry-optimized CaZr2TiN4 structure, computed with GGA-PBE.

size of the total moment = 0.0 μB per formula unit
DOS at the Fermi energy = 5.0 states/eV per cell
energy relative to the elements, uncorrected = -1.50 eV/atom
crystal system = orthorhombic
DFT total energy = -144.60 eV per cell

The structure in POSCAR format:
```
CaZr2TiN4
1.0
-3.2288 3.2688 4.5819
3.2288 -3.2688 4.5819
3.2288 3.2688 -4.5819
Ca Zr Ti N
2 4 2 8
direct
0.5000 0.0000 0.0000
0.5000 0.5000 0.5000
0.0000 0.0000 0.0000
0.0000 0.0000 0.5000
0.0000 0.5000 0.0000
0.5000 0.0000 0.5000
0.0000 0.5000 0.5000
0.5000 0.5000 0.0000
0.2308 0.7463 0.4845
0.2382 0.2537 0.9845
0.2446 0.2523 0.5077
0.2446 0.7369 0.9923
0.7554 0.2631 0.0077
0.7554 0.7477 0.4923
0.7618 0.7463 0.0155
0.7692 0.2537 0.5155
```

---

A geometry-optimized MnH2RhS structure, computed with GGA-PBE.

size of the total moment = 4.2 μB per formula unit
DOS at the Fermi energy = 1.9 states/eV per cell
crystal system = tetragonal
DFT total energy = -27.71 eV per cell

The structure in POSCAR format:
```
MnH2RhS
1.0
3.4320 0.0000 0.0000
0.0000 3.4320 0.0000
0.0000 0.0000 4.8425
Mn H Rh S
1 2 1 1
direct
0.0000 0.0000 0.0000
0.0000 0.5000 0.5000
0.5000 0.0000 0.5000
0.5000 0.5000 0.5000
0.5000 0.5000 0.0000
```

---

A geometry-optimized Pm4Si5Ge2 structure, computed with GGA-PBE.

size of the total moment = 0.0 μB per formula unit
DOS at the Fermi energy = 3.9 states/eV per cell
energy relative to the elements, uncorrected = -0.63 eV/atom
crystal system = monoclinic
DFT total energy = -62.24 eV per cell

The structure in POSCAR format:
```
Pm4Si5Ge2
1.0
6.8955 0.0000 0.0000
0.0000 4.3493 0.0000
-0.0176 0.0000 7.8587
Pm Si Ge
4 5 2
direct
0.2394 0.0000 0.3731
0.2508 0.0000 0.8769
0.7492 0.0000 0.1231
0.7606 0.0000 0.6269
0.1225 0.5000 0.6155
0.4539 0.5000 0.1539
0.5000 0.5000 0.5000
0.5461 0.5000 0.8461
0.8775 0.5000 0.3846
0.0963 0.5000 0.1335
0.9037 0.5000 0.8665
```

---

A geometry-optimized Pa3Te4 structure, computed with GGA-PBE.

size of the total moment = 3.2 μB per formula unit
DOS at the Fermi energy = 26.6 states/eV per cell
energy relative to the elements, uncorrected = -0.72 eV/atom
crystal system = cubic
distance to the lowest polymorph of the same formula = 0.000 eV/atom
DFT total energy = -92.23 eV per cell

The structure in POSCAR format:
```
Pa3Te4
1.0
-4.5939 4.5939 4.5939
4.5939 -4.5939 4.5939
4.5939 4.5939 -4.5939
Pa Te
6 8
direct
0.1250 0.7500 0.8750
0.2500 0.6250 0.3750
0.3750 0.2500 0.6250
0.6250 0.3750 0.2500
0.7500 0.8750 0.1250
0.8750 0.1250 0.7500
0.0000 0.3449 0.5000
0.0000 0.8449 0.5000
0.1551 0.1551 0.1551
0.3449 0.5000 0.0000
0.5000 0.0000 0.3449
0.5000 0.0000 0.8449
0.6551 0.6551 0.6551
0.8449 0.5000 0.0000
```

---

A geometry-optimized Li4SmAg8 structure, computed with GGA-PBE.

size of the total moment = 0.0 μB per formula unit
DOS at the Fermi energy = 5.5 states/eV per cell
crystal system = tetragonal
DFT total energy = -37.52 eV per cell

The structure in POSCAR format:
```
Li4SmAg8
1.0
-4.7052 4.7052 2.6209
4.7052 -4.7052 2.6209
4.7052 4.7052 -2.6209
Li Sm Ag
4 1 8
direct
0.0000 0.0000 0.5000
0.0000 0.5000 0.0000
0.5000 0.0000 0.0000
0.5000 0.5000 0.5000
0.0000 0.0000 0.0000
0.0000 0.3486 0.3486
0.0000 0.6514 0.6514
0.2824 0.5000 0.7824
0.3486 0.0000 0.3486
0.5000 0.2824 0.7824
0.5000 0.7176 0.2176
0.6514 0.0000 0.6514
0.7176 0.5000 0.2176
```

---

A geometry-optimized FeCoAg4 structure, computed with GGA-PBE.

size of the total moment = 4.9 μB per formula unit
DOS at the Fermi energy = 7.6 states/eV per cell
crystal system = cubic
DFT total energy = -22.65 eV per cell

The structure in POSCAR format:
```
FeCoAg4
1.0
0.0000 3.7619 3.7619
3.7619 0.0000 3.7619
3.7619 3.7619 0.0000
Fe Co Ag
1 1 4
direct
0.0000 0.0000 0.0000
0.2500 0.2500 0.2500
0.1250 0.6250 0.6250
0.6250 0.1250 0.6250
0.6250 0.6250 0.1250
0.6250 0.6250 0.6250
```

---

A geometry-optimized SmPuFe4 structure, computed with GGA-PBE.

size of the total moment = 11.5 μB per formula unit
DOS at the Fermi energy = 19.0 states/eV per cell
crystal system = cubic
DFT total energy = -51.92 eV per cell

The structure in POSCAR format:
```
SmPuFe4
1.0
0.0000 3.6194 3.6194
3.6194 0.0000 3.6194
3.6194 3.6194 0.0000
Sm Pu Fe
1 1 4
direct
0.0000 0.0000 0.0000
0.7500 0.7500 0.7500
0.3761 0.3761 0.3761
0.3761 0.3761 0.8716
0.3761 0.8716 0.3761
0.8716 0.3761 0.3761
```

---

A geometry-optimized Rb4U3HgO12 structure, computed with GGA-PBE.

size of the total moment = 0.0 μB per formula unit
DOS at the Fermi energy = 0.0 states/eV per cell
energy relative to the elements, uncorrected = -2.52 eV/atom
crystal system = cubic
DFT total energy = -147.91 eV per cell

The structure in POSCAR format:
```
Rb4U3HgO12
1.0
-4.3847 4.3847 4.3847
4.3847 -4.3847 4.3847
4.3847 4.3847 -4.3847
Rb U Hg O
4 3 1 12
direct
0.0000 0.0000 0.5000
0.0000 0.5000 0.0000
0.5000 0.0000 0.0000
0.5000 0.5000 0.5000
0.0000 0.5000 0.5000
0.5000 0.0000 0.5000
0.5000 0.5000 0.0000
0.0000 0.0000 0.0000
0.0000 0.2767 0.2767
0.0000 0.7233 0.7233
0.2500 0.5000 0.7500
0.2500 0.7500 0.5000
0.2767 0.0000 0.2767
0.2767 0.2767 0.0000
0.5000 0.2500 0.7500
0.5000 0.7500 0.2500
0.7233 0.0000 0.7233
0.7233 0.7233 0.0000
0.7500 0.2500 0.5000
0.7500 0.5000 0.2500
```

---

A geometry-optimized Be2TcHPd structure, computed with GGA-PBE.

size of the total moment = 0.0 μB per formula unit
DOS at the Fermi energy = 3.3 states/eV per cell
crystal system = tetragonal
DFT total energy = -26.51 eV per cell

The structure in POSCAR format:
```
Be2TcHPd
1.0
3.8908 0.0000 0.0000
0.0000 3.8908 0.0000
0.0000 0.0000 3.2950
Be Tc H Pd
2 1 1 1
direct
0.0000 0.5000 0.0000
0.5000 0.0000 0.0000
0.0000 0.0000 0.5000
0.0000 0.0000 0.0000
0.5000 0.5000 0.5000
```

---

A geometry-optimized NdPaIn2 structure, computed with GGA-PBE.

size of the total moment = 0.0 μB per formula unit
DOS at the Fermi energy = 6.0 states/eV per cell
crystal system = tetragonal
distance to the lowest polymorph of the same formula = 0.000 eV/atom
DFT total energy = -20.58 eV per cell

The structure in POSCAR format:
```
NdPaIn2
1.0
3.3825 0.0000 0.0000
0.0000 3.3825 0.0000
0.0000 0.0000 9.3199
Nd Pa In
1 1 2
direct
0.0000 0.0000 0.0000
0.0000 0.0000 0.5000
0.5000 0.5000 0.2558
0.5000 0.5000 0.7442
```

---

A geometry-optimized TaMoC2 structure, computed with GGA-PBE.

size of the total moment = 0.0 μB per formula unit
DOS at the Fermi energy = 2.2 states/eV per cell
crystal system = orthorhombic
distance to the lowest polymorph of the same formula = 0.711 eV/atom
DFT total energy = -39.19 eV per cell

The structure in POSCAR format:
```
TaMoC2
1.0
3.0405 0.0000 0.0000
0.0000 3.0462 0.0000
0.0000 0.0000 5.1966
Ta Mo C
1 1 2
direct
0.0000 0.0000 0.0000
0.0000 0.5000 0.5000
0.5000 0.0000 0.5000
0.5000 0.5000 0.0000
```

---

A geometry-optimized SrTlHgPb structure, computed with GGA-PBE.

size of the total moment = 0.0 μB per formula unit
DOS at the Fermi energy = 2.2 states/eV per cell
crystal system = tetragonal
distance to the lowest polymorph of the same formula = 0.000 eV/atom
DFT total energy = -9.38 eV per cell

The structure in POSCAR format:
```
SrTlHgPb
1.0
-2.5238 2.5238 4.7589
2.5238 -2.5238 4.7589
2.5238 2.5238 -4.7589
Sr Tl Hg Pb
1 1 1 1
direct
0.0000 0.0000 0.0000
0.7500 0.2500 0.5000
0.2500 0.7500 0.5000
0.5000 0.5000 0.0000
```

---

A geometry-optimized Pa2HgIr structure, computed with GGA-PBE.

size of the total moment = 0.0 μB per formula unit
DOS at the Fermi energy = 5.7 states/eV per cell
crystal system = tetragonal
distance to the lowest polymorph of the same formula = 0.000 eV/atom
DFT total energy = -29.29 eV per cell

The structure in POSCAR format:
```
Pa2HgIr
1.0
3.6026 0.0000 0.0000
0.0000 3.6026 0.0000
0.0000 0.0000 7.1901
Pa Hg Ir
2 1 1
direct
0.0000 0.0000 0.2035
0.0000 0.0000 0.7965
0.5000 0.5000 0.5000
0.5000 0.5000 0.0000
```

---

A geometry-optimized CsTaIr2 structure, computed with GGA-PBE.

size of the total moment = 0.0 μB per formula unit
DOS at the Fermi energy = 3.6 states/eV per cell
crystal system = cubic
distance to the lowest polymorph of the same formula = 0.474 eV/atom
DFT total energy = -25.27 eV per cell

The structure in POSCAR format:
```
CsTaIr2
1.0
0.0000 3.4182 3.4182
3.4182 0.0000 3.4182
3.4182 3.4182 0.0000
Cs Ta Ir
1 1 2
direct
0.0000 0.0000 0.0000
0.5000 0.5000 0.5000
0.2500 0.2500 0.2500
0.7500 0.7500 0.7500
```

---

A geometry-optimized Cs2KCl structure, computed with GGA-PBE.

size of the total moment = 0.0 μB per formula unit
DOS at the Fermi energy = 1.6 states/eV per cell
energy relative to the elements, uncorrected = -0.94 eV/atom
crystal system = trigonal
distance to the lowest polymorph of the same formula = 0.000 eV/atom
DFT total energy = -8.42 eV per cell

The structure in POSCAR format:
```
Cs2KCl
1.0
2.5038 1.4456 12.6441
-2.5038 1.4456 12.6441
0.0000 -2.8912 12.6441
Cs K Cl
2 1 1
direct
0.0000 0.0000 0.0000
0.2241 0.2241 0.2241
0.4455 0.4455 0.4455
0.6119 0.6119 0.6119
```

---

A geometry-optimized Nb2TlVIr structure, computed with GGA-PBE.

size of the total moment = 3.4 μB per formula unit
DOS at the Fermi energy = 5.7 states/eV per cell
crystal system = tetragonal
distance to the lowest polymorph of the same formula = 0.000 eV/atom
DFT total energy = -28.96 eV per cell

The structure in POSCAR format:
```
Nb2TlVIr
1.0
5.0411 0.0000 0.0000
0.0000 5.0411 0.0000
0.0000 0.0000 4.7776
Nb Tl V Ir
2 1 1 1
direct
0.0000 0.5000 0.0000
0.5000 0.0000 0.0000
0.0000 0.0000 0.0000
0.0000 0.0000 0.5000
0.5000 0.5000 0.5000
```

---

A geometry-optimized TbHoLuOs structure, computed with GGA-PBE.

size of the total moment = 0.0 μB per formula unit
DOS at the Fermi energy = 3.2 states/eV per cell
crystal system = cubic
DFT total energy = -24.60 eV per cell

The structure in POSCAR format:
```
TbHoLuOs
1.0
0.0000 3.6006 3.6006
3.6006 0.0000 3.6006
3.6006 3.6006 0.0000
Tb Ho Lu Os
1 1 1 1
direct
0.0000 0.0000 0.0000
0.5000 0.5000 0.5000
0.7500 0.7500 0.7500
0.2500 0.2500 0.2500
```

---

A geometry-optimized SrLiSmCl6 structure, computed with GGA-PBE.

size of the total moment = 0.0 μB per formula unit
DOS at the Fermi energy = 0.0 states/eV per cell
energy relative to the elements, uncorrected = -2.23 eV/atom
crystal system = trigonal
DFT total energy = -78.92 eV per cell

The structure in POSCAR format:
```
SrLiSmCl6
1.0
6.8224 0.0000 0.0000
-3.4112 5.9084 0.0000
0.0000 0.0000 12.7696
Sr Li Sm Cl
2 2 2 12
direct
0.0000 0.0000 0.0000
0.0000 0.0000 0.5000
0.3333 0.6667 0.2500
0.6667 0.3333 0.7500
0.3333 0.6667 0.7500
0.6667 0.3333 0.2500
0.0102 0.3574 0.1328
0.0102 0.6527 0.3672
0.3473 0.3574 0.3672
0.3473 0.9898 0.1328
0.3574 0.0102 0.6328
0.3574 0.3473 0.8672
0.6426 0.6527 0.1328
0.6426 0.9898 0.3672
0.6527 0.0102 0.8672
0.6527 0.6426 0.6328
0.9898 0.3473 0.6328
0.9898 0.6426 0.8672
```